{
  "formula": "Ba2AsPd2",
  "functional": "PBE",
  "state": "relaxed",
  "lattice": [[-5.174, -5.265, -1.784], [5.111, -3.547, -4.356], [1.342, -2.558, 3.657]],
  "species": ["As", "As", "Ba", "Ba", "Ba", "Ba", "Pd", "Pd", "Pd", "Pd"],
  "fractional_positions": [[0.000, 0.000, 0.000], [0.500, 0.500, 0.000], [0.185, 0.685, 0.500], [0.685, 0.815, 0.500], [0.815, 0.315, 0.500], [0.315, 0.185, 0.500], [0.372, 0.872, 0.000], [0.872, 0.628, 0.000], [0.628, 0.128, 0.000], [0.128, 0.372, 0.000]],
  "ef_ev_per_atom": -0.571,
  "de_polymorph_mev_per_atom": 154.8
}

=====

{
  "formula": "DyTmThSc",
  "functional": "PBE",
  "state": "relaxed",
  "lattice": [[3.522, -0.001, 0.000], [-1.761, 3.051, 0.002], [-1.760, -1.022, 11.027]],
  "species": ["Dy", "Tm", "Th", "Sc"],
  "fractional_positions": [[0.470, 0.133, 0.619], [0.964, 0.380, 0.359], [0.308, 0.552, 0.875], [0.136, 0.966, 0.117]],
  "ef_ev_per_atom": 0.020,
  "de_polymorph_mev_per_atom": 0.0
}

=====

{
  "formula": "Tm8Ni3Bi2",
  "functional": "PBE",
  "state": "relaxed",
  "lattice": [[6.452, 0.000, 0.443], [0.000, 7.177, 0.000], [-2.128, -3.589, 7.728]],
  "species": ["Tm", "Tm", "Tm", "Tm", "Tm", "Tm", "Tm", "Tm", "Ni", "Ni", "Ni", "Bi", "Bi"],
  "fractional_positions": [[0.850, 0.571, 0.143], [0.150, 0.429, 0.857], [0.862, 0.123, 0.246], [0.138, 0.877, 0.754], [0.635, 0.653, 0.797], [0.635, 0.144, 0.797], [0.365, 0.856, 0.203], [0.365, 0.347, 0.203], [0.500, 0.000, 0.000], [0.000, 0.188, 0.000], [0.000, 0.812, 0.000], [0.312, 0.262, 0.524], [0.688, 0.738, 0.476]],
  "ef_ev_per_atom": -0.336
}

=====

{
  "formula": "VSbSe2",
  "functional": "PBE",
  "state": "relaxed",
  "lattice": [[4.084, 0.000, 0.000], [2.042, 3.537, 0.000], [2.042, 1.179, 8.205]],
  "species": ["Sb", "Se", "Se", "V"],
  "fractional_positions": [[0.500, 0.500, 0.500], [0.100, 0.100, 0.700], [0.900, 0.900, 0.300], [0.000, 0.000, 0.000]],
  "raw_formation_energy_ev_per_atom": 0.29
}

=====

{
  "formula": "Pu2SiTc",
  "functional": "PBE",
  "state": "relaxed",
  "lattice": [[-2.740, 4.130, 1.153], [-1.039, 0.247, -3.353], [-2.777, -2.041, 0.710]],
  "species": ["Si", "Tc", "Pu", "Pu"],
  "fractional_positions": [[0.500, 0.000, 0.000], [0.500, 0.500, 0.500], [0.000, 0.000, 0.500], [0.000, 0.500, 0.000]],
  "raw_formation_energy_ev_per_atom": 0.05,
  "de_polymorph_mev_per_atom": 277.5
}

=====

{
  "formula": "Ti2Zn4In",
  "functional": "PBE",
  "state": "relaxed",
  "lattice": [[10.405, 0.000, 0.000], [0.000, 4.533, -2.098], [0.000, -0.318, 5.261]],
  "species": ["Ti", "Ti", "Ti", "Ti", "Zn", "Zn", "Zn", "Zn", "Zn", "Zn", "Zn", "Zn", "In", "In"],
  "fractional_positions": [[0.000, 0.692, 0.384], [0.000, 0.308, 0.616], [0.500, 0.808, 0.616], [0.500, 0.192, 0.384], [0.806, 0.501, 0.000], [0.750, 0.500, 0.500], [0.750, 0.000, 0.500], [0.695, 0.001, 0.000], [0.305, 0.999, 0.000], [0.250, 0.000, 0.500], [0.250, 0.500, 0.500], [0.194, 0.499, 0.000], [0.000, 0.000, 0.000], [0.500, 0.500, 0.000]],
  "ef_ev_per_atom": 0.031
}

=====

{
  "formula": "Ti2VMo",
  "functional": "PBE",
  "state": "relaxed",
  "lattice": [[-2.347, -0.794, 3.729], [1.509, -2.952, 3.009], [1.535, 1.423, 3.957]],
  "species": ["Mo", "Ti", "Ti", "V"],
  "fractional_positions": [[0.500, 0.500, 0.500], [0.250, 0.250, 0.250], [0.750, 0.750, 0.750], [0.000, 0.000, 0.000]],
  "ef_ev_per_atom": 0.005,
  "de_polymorph_mev_per_atom": 0.0
}

=====

{
  "formula": "LiTaNi2",
  "functional": "PBE",
  "state": "relaxed",
  "lattice": [[4.141, 0.000, 0.000], [2.070, 3.586, 0.000], [2.070, 1.195, 3.381]],
  "species": ["Li", "Ni", "Ni", "Ta"],
  "fractional_positions": [[0.500, 0.500, 0.500], [0.000, 0.000, 0.000], [0.250, 0.250, 0.250], [0.750, 0.750, 0.750]],
  "ef_ev_per_atom": 0.100
}

=====

{
  "formula": "AgBrO",
  "functional": "PBE",
  "state": "relaxed",
  "lattice": [[3.025, 0.000, 0.000], [0.000, 3.025, 0.000], [-1.512, -1.512, 7.643]],
  "species": ["O", "Br", "Ag"],
  "fractional_positions": [[0.865, 0.865, 0.730], [0.603, 0.603, 0.206], [0.382, 0.382, 0.765]],
  "raw_formation_energy_ev_per_atom": 0.17
}

=====

{
  "formula": "LiHg2GeRu",
  "functional": "PBE",
  "state": "relaxed",
  "lattice": [[5.191, 0.000, 0.000], [0.000, 4.606, 0.000], [0.000, 0.000, 5.191]],
  "species": ["Ru", "Ge", "Hg", "Hg", "Li"],
  "fractional_positions": [[0.000, 0.000, 0.000], [0.500, 0.500, 0.500], [0.000, 0.000, 0.500], [0.500, 0.000, 0.000], [0.000, 0.500, 0.000]],
  "ef_ev_per_atom": 0.790
}

=====

{
  "formula": "BaHoHg2",
  "functional": "PBE",
  "state": "relaxed",
  "lattice": [[3.874, 0.000, 0.000], [0.000, 3.874, 0.000], [0.000, 0.000, 8.101]],
  "species": ["Ba", "Hg", "Hg", "Ho"],
  "fractional_positions": [[0.500, 0.500, 0.500], [0.000, 0.000, 0.796], [0.000, 0.000, 0.204], [0.500, 0.500, 0.000]],
  "ef_ev_per_atom": -0.471
}

=====

{
  "formula": "TeIN2",
  "functional": "PBE",
  "state": "relaxed",
  "lattice": [[2.041, 0.000, 6.854], [-1.021, 1.768, 6.854], [-1.021, -1.768, 6.854]],
  "species": ["I", "Te", "N", "N"],
  "fractional_positions": [[0.500, 0.500, 0.500], [0.000, 0.000, 0.000], [0.891, 0.891, 0.891], [0.109, 0.109, 0.109]],
  "raw_formation_energy_ev_per_atom": 1.60,
  "de_polymorph_mev_per_atom": 391.7
}

=====

{
  "formula": "CePrDyZr",
  "functional": "PBE",
  "state": "relaxed",
  "lattice": [[5.497, 0.000, 0.000], [2.749, 4.761, 0.000], [2.749, 1.587, 4.488]],
  "species": ["Pr", "Zr", "Ce", "Dy"],
  "fractional_positions": [[0.500, 0.500, 0.500], [0.250, 0.250, 0.250], [0.000, 0.000, 0.000], [0.750, 0.750, 0.750]],
  "ef_ev_per_atom": 0.237
}